Below is crystalline LiB4C4 at its relaxed geometry, with properties calculated at the PBE level.

Structure (extended XYZ):
```
18
Lattice="-1.352 0.014 -2.368 2.122 -1.677 0.348 -14.170 -16.270 7.995" Properties=species:S:1:pos:R:3 pbc="T T T"
C -0.574 -2.879 0.311
C -3.015 -3.788 0.129
C -3.464 -6.197 1.942
C -6.230 -7.479 1.943
C -6.354 -9.516 3.572
C -9.527 -11.265 3.803
C -10.549 -14.332 5.939
C -13.887 -16.272 6.264
B -1.828 -4.318 1.018
B -1.745 -2.331 -0.587
B -5.101 -8.077 2.865
B -4.622 -5.634 1.036
B -8.329 -11.783 4.686
B -7.499 -8.937 2.659
B -12.769 -16.881 7.192
B -11.707 -13.769 5.034
Li -10.387 -11.926 5.861
Li -12.639 -14.512 7.131
```

Output
ΔH_f (0 K)   202 meV per atom
Space group   P-6m2 (187)
DOS at the Fermi energy   4.782 states/eV/cell
E_tot   -127.41 eV for the cell shown
Energy relative to the lowest polymorph listed for this composition   112.5 meV/atom



Below is crystalline HfTaSe4 at its relaxed geometry, with properties calculated at the PBE level.

Structure (extended XYZ):
```
6
Lattice="3.619 0.000 0.000 0.000 7.126 0.527 0.000 -2.222 5.883" Properties=species:S:1:pos:R:3 pbc="T T T"
Hf 0.000 2.452 3.205
Ta 1.810 3.563 0.263
Se 0.000 0.186 4.633
Se 0.000 4.718 1.776
Se 1.810 1.312 1.609
Se 1.810 3.591 4.800
```

Output
Formation energy (no corrections)   -1045.8 meV/atom
Space group   P2/m (10)
DOS at the Fermi energy   2.482 states/eV/cell
E_tot   -42.02 eV for the cell shown



Below is crystalline LaNiP at its relaxed geometry, with properties calculated at the PBE level.

Structure (extended XYZ):
```
6
Lattice="-2.377 2.867 -1.527 -1.354 -2.372 2.957 2.843 5.328 5.576" Properties=species:S:1:pos:R:3 pbc="T T T"
Ni -2.002 1.267 2.839
Ni 1.114 4.556 4.166
P -0.307 1.892 1.377
P -0.581 3.930 5.628
La 0.745 1.478 4.266
La -0.677 -1.186 1.479
```

Output
ΔH_f (0 K)   -1183 meV per atom
Space group   P6_3/mmc (194)
DOS at the Fermi energy   2.910 states/eV/cell
E_tot   -39.34 eV for the cell shown



- Which formula does entry 2 have?
  HfTaSe4



Copy entry 1 word for word.
Below is crystalline LiB4C4 at its relaxed geometry, with properties calculated at the PBE level.

Structure (extended XYZ):
```
18
Lattice="-1.352 0.014 -2.368 2.122 -1.677 0.348 -14.170 -16.270 7.995" Properties=species:S:1:pos:R:3 pbc="T T T"
C -0.574 -2.879 0.311
C -3.015 -3.788 0.129
C -3.464 -6.197 1.942
C -6.230 -7.479 1.943
C -6.354 -9.516 3.572
C -9.527 -11.265 3.803
C -10.549 -14.332 5.939
C -13.887 -16.272 6.264
B -1.828 -4.318 1.018
B -1.745 -2.331 -0.587
B -5.101 -8.077 2.865
B -4.622 -5.634 1.036
B -8.329 -11.783 4.686
B -7.499 -8.937 2.659
B -12.769 -16.881 7.192
B -11.707 -13.769 5.034
Li -10.387 -11.926 5.861
Li -12.639 -14.512 7.131
```

Output
ΔH_f (0 K)   202 meV per atom
Space group   P-6m2 (187)
DOS at the Fermi energy   4.782 states/eV/cell
E_tot   -127.41 eV for the cell shown
Energy relative to the lowest polymorph listed for this composition   112.5 meV/atom



- DOS at the Fermi energy of number 2 (HfTaSe4)?
  2.482 states/eV/cell



- Which of these has the lowest DOS at the Fermi energy?
  HfTaSe4